Entry 1:
{
  "formula": "VNi2HgF",
  "functional": "GGA+U",
  "state": "optimized geometry",
  "cell": [[-4.1138, 1.2330, 1.5467], [-1.3513, -3.4114, -0.8746], [1.1129, -1.5079, 4.1621]],
  "species": ["Hg", "V", "F", "Ni", "Ni"],
  "frac_coords": [[0.5000, 0.5000, 0.5000], [0.0000, 0.0000, 0.0000], [0.0000, 0.5000, 0.0000], [0.0000, 0.0000, 0.5000], [0.5000, 0.0000, 0.0000]],
  "volume_a3_per_cell": 78.59,
  "dos_ef_per_ev_cell": 2.10,
  "e_tot_ev_per_atom": -2.265
}

=====

Entry 2:
{
  "formula": "ZnNi2HgF8",
  "functional": "GGA+U",
  "state": "optimized geometry",
  "cell": [[-2.4614, 1.8220, -3.7899], [1.4902, -3.7346, -2.8441], [-5.2729, -3.4498, 1.7656]],
  "species": ["Ni", "Ni", "F", "F", "F", "F", "F", "F", "F", "F", "Hg", "Zn"],
  "frac_coords": [[0.5000, 0.5000, 0.2393], [0.5000, 0.5000, 0.7607], [0.6771, 0.6691, 0.5000], [0.2117, 0.7947, 0.7773], [0.7883, 0.2053, 0.2227], [0.2120, 0.7950, 0.2226], [0.7880, 0.2050, 0.7774], [0.3229, 0.3309, 0.5000], [0.6964, 0.6898, 0.9999], [0.3036, 0.3102, 0.0001], [0.0000, 0.0000, 0.5000], [0.0000, 0.0000, 0.0000]],
  "volume_a3_per_cell": 157.02,
  "dos_ef_per_ev_cell": 0.00,
  "e_tot_ev_per_atom": -3.801
}